DFT (GGA-PBE) results for crystalline FePt2Au at its relaxed geometry.

Cell and atoms, written as POSCAR:
```
FePt2Au
1.0
5.639 0.000 0.000
0.000 7.775 0.000
0.000 0.000 2.851
Fe Pt Au
2 4 2
direct
0.000 0.000 0.000
0.500 0.500 0.000
0.250 0.250 0.500
0.250 0.750 0.500
0.750 0.250 0.500
0.750 0.750 0.500
0.000 0.500 0.000
0.500 0.000 0.000
```

Values from the calculation:
Crystal system: orthorhombic
V in Å³/cell: 125.0
E above lowest polymorph in meV per atom: 124
M_tot in μB per atom: 0.959
Symmetry: Cmmm
Final energy in eV per atom: -5.973


DFT (GGA-PBE) results for crystalline MgMnRe at its relaxed geometry.

Cell and atoms, written as POSCAR:
```
MgMnRe
1.0
5.824 0.000 0.000
0.000 5.824 0.000
0.000 0.000 5.824
Mg Mn Re
4 4 4
direct
0.000 0.000 0.000
0.000 0.500 0.500
0.500 0.000 0.500
0.500 0.500 0.000
0.250 0.250 0.250
0.250 0.750 0.750
0.750 0.250 0.750
0.750 0.750 0.250
0.000 0.000 0.500
0.000 0.500 0.000
0.500 0.000 0.000
0.500 0.500 0.500
```

Values from the calculation:
Crystal system: cubic
V in Å³/cell: 197.6
E above lowest polymorph in meV per atom: 482
M_tot in μB per atom: 0.539
Symmetry: F-43m
Final energy in eV per atom: -7.102


DFT (GGA-PBE) results for crystalline SrCrTe3 at its relaxed geometry.

Cell and atoms, written as POSCAR:
```
SrCrTe3
1.0
13.741 0.000 0.000
0.000 6.635 0.000
0.000 0.000 6.455
Sr Cr Te
4 4 12
direct
0.189 0.012 0.250
0.189 0.488 0.750
0.811 0.512 0.250
0.811 0.988 0.750
0.424 0.750 0.000
0.424 0.750 0.500
0.576 0.250 0.000
0.576 0.250 0.500
0.001 0.250 0.000
0.001 0.250 0.500
0.279 0.555 0.250
0.279 0.945 0.750
0.432 0.090 0.250
0.432 0.410 0.750
0.568 0.590 0.250
0.568 0.910 0.750
0.721 0.055 0.250
0.721 0.445 0.750
0.999 0.750 0.000
0.999 0.750 0.500
```

Values from the calculation:
Crystal system: orthorhombic
V in Å³/cell: 588.5
Formation energy without anion corrections in kJ/mol of formula units: -345.1
E above lowest polymorph in meV per atom: 0
M_tot in μB per atom: 0.642
Symmetry: Pbcm
Final energy in eV per atom: -4.861


DFT (GGA-PBE) results for crystalline LiWSe at its relaxed geometry.

Cell and atoms, written as POSCAR:
```
LiWSe
1.0
3.258 0.000 0.000
0.000 4.810 0.000
0.000 0.000 13.102
Li W Se
4 4 4
direct
0.000 0.000 0.000
0.000 0.500 0.500
0.500 0.000 0.500
0.500 0.500 0.000
0.000 0.000 0.324
0.000 0.500 0.824
0.500 0.000 0.824
0.500 0.500 0.324
0.000 0.000 0.673
0.000 0.500 0.173
0.500 0.000 0.173
0.500 0.500 0.673
```

Values from the calculation:
Crystal system: orthorhombic
V in Å³/cell: 205.3
Formation energy without anion corrections in kJ/mol of formula units: 92.9
E above lowest polymorph in meV per atom: 231
M_tot in μB per atom: 0.000
Symmetry: Fmm2
Final energy in eV per atom: -5.796


DFT (GGA-PBE) results for crystalline BeAlIn at its relaxed geometry.

Cell and atoms, written as POSCAR:
```
BeAlIn
1.0
4.664 0.000 0.000
0.000 3.780 0.000
-0.733 0.000 6.053
Be Al In
2 2 2
direct
0.000 0.000 0.000
0.243 0.500 0.059
0.358 0.000 0.321
0.777 0.500 0.192
0.474 0.000 0.798
0.956 0.500 0.644
```

Values from the calculation:
Crystal system: monoclinic
V in Å³/cell: 106.7
M_tot in μB per atom: 0.000
Symmetry: Pm
Final energy in eV per atom: -3.183


DFT (GGA-PBE) results for crystalline Cs2Ba2S at its relaxed geometry.

Cell and atoms, written as POSCAR:
```
Cs2Ba2S
1.0
8.683 0.000 0.000
0.000 8.683 0.000
0.000 0.000 8.857
Cs Ba S
4 4 2
direct
0.181 0.319 0.000
0.319 0.819 0.000
0.681 0.181 0.000
0.819 0.681 0.000
0.197 0.697 0.500
0.303 0.197 0.500
0.697 0.803 0.500
0.803 0.303 0.500
0.000 0.000 0.500
0.500 0.500 0.500
```

Values from the calculation:
Crystal system: tetragonal
V in Å³/cell: 667.8
Formation energy without anion corrections in kJ/mol of formula units: -252.2
M_tot in μB per atom: 0.000
Symmetry: P4/mbm
Final energy in eV per atom: -2.459